VASP calculation (PBE) on a relaxed structure of ScMn2I6.

Cell lengths 8.667, 8.667, 10.384 Å; angles 110.47, 110.47, 27.49 degrees
Atoms (fractional coordinates):
Sc  0.000  0.000  0.000
Mn  0.331  0.331  0.664
Mn  0.669  0.669  0.336
I  0.039  0.039  0.299
I  0.294  0.294  0.368
I  0.369  0.369  0.967
I  0.631  0.631  0.033
I  0.706  0.706  0.632
I  0.961  0.961  0.701

Properties
**Calculated total energy**: -4.446 eV per atom